1.
Density functional theory data (PBE) for an optimized crystal structure of MnCu3Si.

Summary:
**Relative energy among the computed polymorphs**: 0.674 eV per atom
**Energy**: -4.1567 eV/atom
**Space-group type**: No. 221

Lattice parameters (Å, degrees): 4.5038 4.5038 4.5038 90.00 90.00 90.00
Last column: nearest neighbours and their distance in Å.
Sites, in units of the cell vectors:
Mn 0.0000 0.0000 0.0000  6 Cu 2.25
Si 0.5000 0.5000 0.5000  12 Cu 3.18
Cu 0.5000 0.0000 0.0000  2 Mn 2.25
Cu 0.0000 0.5000 0.0000  2 Mn 2.25
Cu 0.0000 0.0000 0.5000  2 Mn 2.25



2.
Density functional theory data (PBE) for an optimized crystal structure of Mn2CuSi.

Summary:
**Energy**: -7.0164 eV/atom
**Space-group type**: No. 8

Lattice parameters (Å, degrees): 4.3909 4.3909 4.4023 79.52 79.52 34.84
Last column: nearest neighbours and their distance in Å.
Sites, in units of the cell vectors:
Si 0.4976 0.4976 0.4872  3 Cu 2.49-2.50, 7 Mn 2.53-2.67, 2 Si 2.63
Cu 0.2450 0.2450 0.2634  3 Si 2.49-2.50, 7 Mn 2.55-2.62, 2 Cu 2.63
Mn 0.7553 0.7553 0.7627  5 Mn 2.46-2.63, 3 Si 2.53-2.67, 4 Cu 2.55-2.58
Mn 0.0021 0.0021 0.9867  5 Mn 2.46-2.63, 4 Si 2.56-2.57, 3 Cu 2.56-2.62



3.
Density functional theory data (PBE) for an optimized crystal structure of MnCu2Si.

Summary:
**Energy**: -5.6944 eV/atom
**Space-group type**: No. 8

Lattice parameters (Å, degrees): 4.6550 4.6550 4.4958 67.89 67.89 33.14
Last column: nearest neighbours and their distance in Å.
Sites, in units of the cell vectors:
Mn 0.5142 0.5142 0.4236  3 Si 2.43-2.51, 6 Cu 2.62-2.70, 2 Mn 2.65
Cu 0.9854 0.9854 0.9445  5 Cu 2.46-2.65, 2 Si 2.47, 4 Mn 2.62-2.63
Cu 0.7436 0.7436 0.8077  5 Cu 2.46-2.65, 4 Si 2.51-2.72, 3 Mn 2.70-2.72
Si 0.2569 0.2569 0.3242  3 Mn 2.43-2.51, 6 Cu 2.47-2.72, 2 Si 2.65



4.
Density functional theory data (PBE) for an optimized crystal structure of MnCu2Si.

Summary:
**Energy**: -5.6847 eV/atom
**Space-group type**: No. 99

Lattice parameters (Å, degrees): 2.6632 2.6632 6.7941 90.00 90.00 90.00
Last column: nearest neighbours and their distance in Å.
Sites, in units of the cell vectors:
Si 0.5000 0.5000 0.7444  4 Mn 2.45, 4 Cu 2.52, 4 Si 2.66
Cu 0.5000 0.5000 0.2509  8 Cu 2.58-2.66, 4 Mn 2.60
Mn 0.0000 0.0000 0.5141  4 Si 2.45, 4 Cu 2.60, 4 Mn 2.66
Cu 0.0000 0.0000 0.9906  4 Si 2.52, 8 Cu 2.58-2.66



5.
Density functional theory data (PBE) for an optimized crystal structure of Mn2CuSi.

Summary:
**Energy**: -7.0495 eV/atom
**Space-group type**: No. 47

Lattice parameters (Å, degrees): 3.5035 2.6525 5.8307 62.91 90.00 90.00
Last column: nearest neighbours and their distance in Å.
Sites, in units of the cell vectors:
Si 0.5000 0.2500 0.2500  8 Mn 2.53, 2 Cu 2.60, 2 Si 2.65
Mn 0.0000 0.9930 0.0080  4 Mn 2.51-2.68, 4 Si 2.53, 4 Cu 2.57
Mn 0.0000 0.5070 0.4920  4 Mn 2.51-2.68, 4 Si 2.53, 4 Cu 2.57
Cu 0.5000 0.7500 0.7500  8 Mn 2.57, 2 Si 2.60, 2 Cu 2.65



6.
Density functional theory data (PBE) for an optimized crystal structure of MnCu2Si.

Summary:
**Energy**: -5.7051 eV/atom
**Space-group type**: No. 25

Lattice parameters (Å, degrees): 2.6303 3.4790 5.2980 90.00 90.00 90.00
Last column: nearest neighbours and their distance in Å.
Sites, in units of the cell vectors:
Cu 0.5000 0.5000 0.2427  6 Cu 2.52-2.63, 4 Mn 2.61, 2 Si 2.62-2.68
Si 0.5000 0.5000 0.7370  4 Mn 2.48, 6 Cu 2.60-2.68, 2 Si 2.63
Cu 0.0000 0.0000 0.0059  6 Cu 2.52-2.63, 2 Mn 2.60-2.69, 4 Si 2.60
Mn 0.0000 0.0000 0.5144  4 Si 2.48, 6 Cu 2.60-2.69, 2 Mn 2.63



7.
Density functional theory data (PBE) for an optimized crystal structure of MnCu2Si.

Summary:
**Energy**: -5.7199 eV/atom
**Space-group type**: No. 119

Lattice parameters (Å, degrees): 4.1069 4.1069 4.1069 119.77 119.77 90.40
Last column: nearest neighbours and their distance in Å.
Sites, in units of the cell vectors:
Mn 0.5000 0.5000 0.0000  4 Si 2.52, 4 Cu 2.52
Cu 0.7500 0.2500 0.5000  4 Mn 2.52, 4 Cu 2.52
Cu 0.0000 0.0000 0.0000  4 Cu 2.52, 4 Si 2.52
Si 0.2500 0.7500 0.5000  4 Cu 2.52, 4 Mn 2.52



8.
Density functional theory data (PBE) for an optimized crystal structure of MnCu2Si.

Summary:
**Energy**: -5.5399 eV/atom
**Space-group type**: No. 123

Lattice parameters (Å, degrees): 2.6721 2.6721 7.2662 90.00 90.00 90.00
Last column: nearest neighbours and their distance in Å.
Sites, in units of the cell vectors:
Si 0.5000 0.5000 0.7500  8 Cu 2.58, 4 Si 2.67
Cu 0.0000 0.0000 0.9925  4 Si 2.58, 4 Mn 2.66, 4 Cu 2.67
Cu 0.0000 0.0000 0.5075  4 Si 2.58, 4 Mn 2.66, 4 Cu 2.67
Mn 0.5000 0.5000 0.2500  8 Cu 2.66, 4 Mn 2.67



D(E_F), respectively: 3.19; 2.81; 2.22; 2.11; 2.35; 2.55; 2.09; 1.96 states/eV/f.u..